(A)
# Sc2VF, optimized geometry, DFT PBE+U
# total moment: 13.72 Bohr magnetons per cell
data_Sc2VF
_chemical_formula_sum 'Sc8 V4 F4'
_space_group_name_H-M_alt 'I -4 2 d'
_space_group_IT_number 122
_space_group_name_Hall 'I -4 2bw'
_cell_length_a 6.658
_cell_length_b 6.658
_cell_length_c 7.077
_cell_angle_alpha 90.00
_cell_angle_beta 90.00
_cell_angle_gamma 90.00
loop_
_atom_site_label
_atom_site_type_symbol
_atom_site_fract_x
_atom_site_fract_y
_atom_site_fract_z
Sc1 Sc 0.149 0.250 0.125
V1 V 0.000 0.000 0.500
F1 F 0.000 0.000 0.000

(B)
# Sc2VF, optimized geometry, DFT PBE+U
# total moment: 19.49 Bohr magnetons per cell
data_Sc2VF
_chemical_formula_sum 'Sc8 V4 F4'
_space_group_name_H-M_alt 'F m -3 m'
_space_group_IT_number 225
_space_group_name_Hall '-F 4 2 3'
_cell_length_a 6.801
_cell_length_b 6.801
_cell_length_c 6.801
_cell_angle_alpha 90.00
_cell_angle_beta 90.00
_cell_angle_gamma 90.00
loop_
_atom_site_label
_atom_site_type_symbol
_atom_site_fract_x
_atom_site_fract_y
_atom_site_fract_z
Sc1 Sc 0.250 0.250 0.250
V1 V 0.000 0.000 0.000
F1 F 0.000 0.000 0.500

(C)
# Sc2VF, optimized geometry, DFT PBE+U
# total moment: 7.60 Bohr magnetons per cell
data_Sc2VF
_chemical_formula_sum 'Sc6 V3 F3'
_space_group_name_H-M_alt 'R -3 m'
_space_group_IT_number 166
_space_group_name_Hall '-R 3 2"'
_cell_length_a 3.3311
_cell_length_b 3.3311
_cell_length_c 25.2726
_cell_angle_alpha 90.00
_cell_angle_beta 90.00
_cell_angle_gamma 120.00
loop_
_atom_site_label
_atom_site_type_symbol
_atom_site_fract_x
_atom_site_fract_y
_atom_site_fract_z
Sc1 Sc 0.0000 0.0000 0.0808
V1 V 0.0000 0.0000 0.5000
F1 F 0.0000 0.0000 0.0000

(D)
# Sc2VF, optimized geometry, DFT PBE+U
# total moment: 9.42 Bohr magnetons per cell
data_Sc2VF
_chemical_formula_sum 'Sc6 V3 F3'
_space_group_name_H-M_alt 'R -3 m'
_space_group_IT_number 166
_space_group_name_Hall '-R 3 2"'
_cell_length_a 3.0402
_cell_length_b 3.0402
_cell_length_c 26.9290
_cell_angle_alpha 90.00
_cell_angle_beta 90.00
_cell_angle_gamma 120.00
loop_
_atom_site_label
_atom_site_type_symbol
_atom_site_fract_x
_atom_site_fract_y
_atom_site_fract_z
Sc1 Sc 0.0000 0.0000 0.1018
V1 V 0.0000 0.0000 0.0000
F1 F 0.0000 0.0000 0.5000

The data favor (C); the next most stable structure lies 14.5 kJ/mol of atoms above it.

(A)
# ScWF2, optimized geometry, DFT PBE+U
# total moment: 4.03 Bohr magnetons per cell
data_ScWF2
_chemical_formula_sum 'Sc4 W4 F8'
_space_group_name_H-M_alt 'I -4 2 d'
_space_group_IT_number 122
_space_group_name_Hall 'I -4 2bw'
_cell_length_a 5.050
_cell_length_b 5.050
_cell_length_c 10.168
_cell_angle_alpha 90.00
_cell_angle_beta 90.00
_cell_angle_gamma 90.00
loop_
_atom_site_label
_atom_site_type_symbol
_atom_site_fract_x
_atom_site_fract_y
_atom_site_fract_z
Sc1 Sc 0.000 0.000 0.000
W1 W 0.000 0.000 0.500
F1 F 0.202 0.250 0.125

(B)
# ScWF2, optimized geometry, DFT PBE+U
# total moment: 0.50 Bohr magnetons per cell
data_ScWF2
_chemical_formula_sum 'Sc3 W3 F6'
_space_group_name_H-M_alt 'R -3 m'
_space_group_IT_number 166
_space_group_name_Hall '-R 3 2"'
_cell_length_a 2.8396
_cell_length_b 2.8396
_cell_length_c 23.0373
_cell_angle_alpha 90.00
_cell_angle_beta 90.00
_cell_angle_gamma 120.00
loop_
_atom_site_label
_atom_site_type_symbol
_atom_site_fract_x
_atom_site_fract_y
_atom_site_fract_z
Sc1 Sc 0.0000 0.0000 0.0000
W1 W 0.0000 0.0000 0.5000
F1 F 0.0000 0.0000 0.4013

(C)
# ScWF2, optimized geometry, DFT PBE+U
# total moment: 10.12 Bohr magnetons per cell
data_ScWF2
_chemical_formula_sum 'Sc3 W3 F6'
_space_group_name_H-M_alt 'R -3 m'
_space_group_IT_number 166
_space_group_name_Hall '-R 3 2"'
_cell_length_a 3.1506
_cell_length_b 3.1506
_cell_length_c 25.2386
_cell_angle_alpha 90.00
_cell_angle_beta 90.00
_cell_angle_gamma 120.00
loop_
_atom_site_label
_atom_site_type_symbol
_atom_site_fract_x
_atom_site_fract_y
_atom_site_fract_z
Sc1 Sc 0.0000 0.0000 0.0000
W1 W 0.0000 0.0000 0.5000
F1 F 0.0000 0.0000 0.0786

(D)
# ScWF2, optimized geometry, DFT PBE+U
# total moment: 0.00 Bohr magnetons per cell
data_ScWF2
_chemical_formula_sum 'Sc4 W4 F8'
_space_group_name_H-M_alt 'F m -3 m'
_space_group_IT_number 225
_space_group_name_Hall '-F 4 2 3'
_cell_length_a 6.189
_cell_length_b 6.189
_cell_length_c 6.189
_cell_angle_alpha 90.00
_cell_angle_beta 90.00
_cell_angle_gamma 90.00
loop_
_atom_site_label
_atom_site_type_symbol
_atom_site_fract_x
_atom_site_fract_y
_atom_site_fract_z
Sc1 Sc 0.000 0.000 0.000
W1 W 0.000 0.000 0.500
F1 F 0.250 0.250 0.250

The data favor (B); the next most stable structure lies 20.9 kJ/mol of atoms above it.